(a)
Computed, not measured: a relaxed NdEr2Cu crystal at the PBE level of DFT. Values from VASP.

## Properties
Space group ... P4/mmm, No. 123

```
&SYSTEM
  ibrav = 0, nat = 4, ntyp = 3
/
ATOMIC_SPECIES
Nd 144.24 Nd.upf
Cu 63.55 Cu.upf
Er 167.26 Er.upf
ATOMIC_POSITIONS crystal
Nd 0.5000 0.5000 0.5000
Cu 0.5000 0.5000 0.0000
Er 0.0000 0.0000 0.8088
Er 0.0000 0.0000 0.1912
CELL_PARAMETERS angstrom
3.4946 0.0000 0.0000
0.0000 3.4946 0.0000
0.0000 0.0000 8.6997
```



(b)
Computed, not measured: a relaxed NdEr2Cu crystal at the PBE level of DFT. Values from VASP.

## Properties
Space group ... P2_1/m, No. 11

```
&SYSTEM
  ibrav = 0, nat = 8, ntyp = 3
/
ATOMIC_SPECIES
Nd 144.24 Nd.upf
Er 167.26 Er.upf
Cu 63.55 Cu.upf
ATOMIC_POSITIONS crystal
Nd 0.9525 0.9047 0.2500
Nd 0.0475 0.0953 0.7500
Er 0.3498 0.6998 0.5311
Er 0.6502 0.3002 0.4689
Er 0.3498 0.6998 0.9689
Er 0.6502 0.3002 0.0311
Cu 0.7983 0.5971 0.7500
Cu 0.2017 0.4029 0.2500
CELL_PARAMETERS angstrom
-2.7958 -1.3886 3.8086
5.9037 -2.3829 0.2683
2.2489 6.0041 3.8400
```



Bottom line: (a), by a margin of 41 meV/atom.



(a)
Computed, not measured: a relaxed NdErCuNi crystal at the PBE level of DFT. Values from VASP.

## Properties
Space group ... F-43m, No. 216

```
&SYSTEM
  ibrav = 0, nat = 4, ntyp = 4
/
ATOMIC_SPECIES
Ni 58.69 Ni.upf
Nd 144.24 Nd.upf
Cu 63.55 Cu.upf
Er 167.26 Er.upf
ATOMIC_POSITIONS crystal
Ni 0.7500 0.7500 0.7500
Nd 0.5000 0.5000 0.5000
Cu 0.2500 0.2500 0.2500
Er 0.0000 0.0000 0.0000
CELL_PARAMETERS angstrom
4.9046 0.0000 0.0000
2.4523 4.2475 0.0000
2.4523 1.4158 4.0046
```



(b)
Computed, not measured: a relaxed NdErCuNi crystal at the PBE level of DFT. Values from VASP.

## Properties
Space group ... Amm2, No. 38

```
&SYSTEM
  ibrav = 0, nat = 4, ntyp = 4
/
ATOMIC_SPECIES
Nd 144.24 Nd.upf
Er 167.26 Er.upf
Cu 63.55 Cu.upf
Ni 58.69 Ni.upf
ATOMIC_POSITIONS crystal
Nd 0.1419 0.0000 0.2838
Er 0.8631 0.5000 0.7262
Cu 0.5680 0.5000 0.1360
Ni 0.4270 0.0000 0.8540
CELL_PARAMETERS angstrom
-3.2051 -0.9742 -1.7242
2.2400 -0.7307 -3.7511
2.3439 -4.4309 2.2628
```



Bottom line: (b), by a margin of 38 meV/atom.



(a)
Computed, not measured: a relaxed ErCu2Ni9 crystal at the PBE level of DFT. Values from VASP.

## Properties
Space group ... P4/mbm, No. 127

```
&SYSTEM
  ibrav = 0, nat = 24, ntyp = 3
/
ATOMIC_SPECIES
Er 167.26 Er.upf
Cu 63.55 Cu.upf
Ni 58.69 Ni.upf
ATOMIC_POSITIONS crystal
Er 0.0000 0.5000 0.5000
Er 0.0000 0.0000 0.0000
Cu 0.0000 0.6150 0.1150
Cu 0.0000 0.3850 0.8850
Cu 0.0000 0.1150 0.3850
Cu 0.0000 0.8850 0.6150
Ni 0.5000 0.5000 0.0000
Ni 0.5000 0.0000 0.5000
Ni 0.5000 0.7096 0.5637
Ni 0.5000 0.2904 0.4363
Ni 0.5000 0.2096 0.9363
Ni 0.5000 0.7904 0.0637
Ni 0.5000 0.4363 0.7096
Ni 0.5000 0.5637 0.2904
Ni 0.5000 0.0637 0.2096
Ni 0.5000 0.9363 0.7904
Ni 0.7607 0.8208 0.3208
Ni 0.7607 0.1792 0.6792
Ni 0.7607 0.3208 0.1792
Ni 0.7607 0.6792 0.8208
Ni 0.2393 0.1792 0.6792
Ni 0.2393 0.8208 0.3208
Ni 0.2393 0.6792 0.8208
Ni 0.2393 0.3208 0.1792
CELL_PARAMETERS angstrom
-0.5263 -3.9031 -2.5601
5.5500 2.6031 -5.1097
5.6644 -3.5972 4.3199
```



(b)
Computed, not measured: a relaxed ErCu2Ni9 crystal at the PBE level of DFT. Values from VASP.

## Properties
Space group ... R-3m, No. 166

```
&SYSTEM
  ibrav = 0, nat = 12, ntyp = 3
/
ATOMIC_SPECIES
Er 167.26 Er.upf
Cu 63.55 Cu.upf
Ni 58.69 Ni.upf
ATOMIC_POSITIONS crystal
Er 0.0000 0.0000 0.0000
Cu 0.8529 0.8529 0.4414
Cu 0.1471 0.1471 0.5586
Ni 0.6659 0.6659 0.0024
Ni 0.3341 0.3341 0.9976
Ni 0.5000 0.5000 0.5000
Ni 0.4112 0.4112 0.2589
Ni 0.9186 0.4112 0.2589
Ni 0.4112 0.9186 0.2589
Ni 0.5888 0.5888 0.7411
Ni 0.5888 0.0814 0.7411
Ni 0.0814 0.5888 0.7411
CELL_PARAMETERS angstrom
4.7663 0.0000 0.0000
2.3831 4.1277 0.0000
2.3831 1.3759 7.7060
```



Bottom line: (a), by a margin of 67 meV/atom.



(a)
Computed, not measured: a relaxed ErCu4Ni2 crystal at the PBE level of DFT. Values from VASP.

## Properties
Space group ... C2/m, No. 12

```
&SYSTEM
  ibrav = 0, nat = 7, ntyp = 3
/
ATOMIC_SPECIES
Er 167.26 Er.upf
Cu 63.55 Cu.upf
Ni 58.69 Ni.upf
ATOMIC_POSITIONS crystal
Er 0.0000 0.0000 0.0000
Cu 0.6945 0.6113 0.9996
Cu 0.3055 0.3887 0.0004
Cu 0.6945 0.9996 0.6113
Cu 0.3055 0.0004 0.3887
Ni 0.7498 0.4999 0.4999
Ni 0.2502 0.5001 0.5001
CELL_PARAMETERS angstrom
4.2681 -0.0066 2.2729
1.9793 4.4187 1.4076
0.0422 -0.3300 5.0312
```



(b)
Computed, not measured: a relaxed ErCu4Ni2 crystal at the PBE level of DFT. Values from VASP.

## Properties
Space group ... I4/mmm, No. 139

```
&SYSTEM
  ibrav = 0, nat = 7, ntyp = 3
/
ATOMIC_SPECIES
Er 167.26 Er.upf
Cu 63.55 Cu.upf
Ni 58.69 Ni.upf
ATOMIC_POSITIONS crystal
Er 0.0000 0.0000 0.0000
Cu 0.7280 0.5000 0.2280
Cu 0.5000 0.7280 0.2280
Cu 0.5000 0.2720 0.7720
Cu 0.2720 0.5000 0.7720
Ni 0.2500 0.7500 0.5000
Ni 0.7500 0.2500 0.5000
CELL_PARAMETERS angstrom
-3.2260 -3.2451 -3.2352
0.7082 -0.2980 5.5510
-2.5945 4.9423 -0.4960
```



Bottom line: (a), by a margin of 604 meV/atom.